# 1
Below is an optimized crystal structure of Ce4AsPbSe2, with properties calculated at the PBE-GGA level.

```
8
Lattice="7.406 0.000 0.000 0.000 4.313 0.000 -2.516 0.000 7.067" Properties=species:S:1:pos:R:3 pbc="T T T"
Ce 1.172 0.000 1.654
Ce -0.079 2.156 5.376
Ce 4.970 2.156 1.691
Ce 3.718 0.000 5.413
As 3.703 0.000 0.000
Pb 2.445 2.156 3.534
Se -1.258 0.000 3.534
Se 0.000 2.156 0.000
```

Output
energy relative to the elements, uncorrected	-1.327	eV per atom
density	7360	kg/m³

=====

# 2
Below is an optimized crystal structure of Sc2Zn5Cu5, with properties calculated at the PBE-GGA level.

```
12
Lattice="4.109 0.000 0.000 0.000 5.037 0.000 0.000 0.000 8.803" Properties=species:S:1:pos:R:3 pbc="T T T"
Sc 0.000 0.000 0.000
Sc 0.000 2.518 4.402
Zn 0.000 0.000 2.873
Zn 0.000 0.000 5.930
Zn 0.000 2.518 1.468
Zn 0.000 2.518 7.335
Zn 2.054 0.000 4.402
Cu 2.054 1.266 2.193
Cu 2.054 1.266 6.610
Cu 2.054 2.518 0.000
Cu 2.054 3.771 2.193
Cu 2.054 3.771 6.610
```

Output
density	6697	kg/m³
calculated formation energy	-0.189	eV per atom

=====

# 3
Below is an optimized crystal structure of Bi2HS, with properties calculated at the PBE-GGA level.

```
8
Lattice="-3.007 3.007 5.463 3.007 -3.007 5.463 3.007 3.007 -5.463" Properties=species:S:1:pos:R:3 pbc="T T T"
Bi 4.511 1.035 -1.366
Bi 1.035 1.504 1.366
Bi -1.504 1.972 4.098
Bi 1.972 1.504 6.829
H 0.000 0.000 0.000
H 0.000 3.007 2.732
S 3.007 0.000 2.732
S 0.000 0.000 5.463
```

Output
DFT total energy	-3.47	eV per atom
density	7580	kg/m³

=====

# 4
Below is an optimized crystal structure of LaPmLu2, with properties calculated at the PBE-GGA level.

```
4
Lattice="3.668 0.000 0.000 0.000 3.668 0.000 0.000 0.000 9.642" Properties=species:S:1:pos:R:3 pbc="T T T"
La 0.000 0.000 0.000
Pm 0.000 0.000 4.821
Lu 1.834 1.834 2.445
Lu 1.834 1.834 7.197
```

Output
density	8114	kg/m³
calculated formation energy	0.030	eV per atom

=====

# 5
Below is an optimized crystal structure of CaGdHgRh, with properties calculated at the PBE-GGA level.

```
4
Lattice="0.000 3.601 3.601 3.601 0.000 3.601 3.601 3.601 0.000" Properties=species:S:1:pos:R:3 pbc="T T T"
Ca 0.000 0.000 0.000
Gd 3.601 3.601 3.601
Hg 5.401 5.401 5.401
Rh 1.800 1.800 1.800
```

Output
density	8905	kg/m³
calculated formation energy	-0.496	eV per atom

=====

# 6
Below is an optimized crystal structure of CdAu, with properties calculated at the PBE-GGA level.

```
4
Lattice="0.000 3.387 3.387 3.387 0.000 3.387 3.387 3.387 0.000" Properties=species:S:1:pos:R:3 pbc="T T T"
Cd 0.847 0.847 0.847
Cd 5.927 5.927 5.927
Au 2.540 2.540 2.540
Au 4.233 4.233 4.233
```

Output
density	13225	kg/m³
calculated formation energy	-0.104	eV per atom

=====

# 7
Below is an optimized crystal structure of AcSbPAu, with properties calculated at the PBE-GGA level.

```
4
Lattice="0.000 3.688 3.688 3.688 0.000 3.688 3.688 3.688 0.000" Properties=species:S:1:pos:R:3 pbc="T T T"
Ac 0.000 0.000 0.000
Sb 3.688 3.688 3.688
P 5.532 5.532 5.532
Au 1.844 1.844 1.844
```

Output
energy relative to the elements, uncorrected	-0.465	eV per atom
density	9544	kg/m³

=====

# 8
Below is an optimized crystal structure of Pr2SmAg3, with properties calculated at the PBE-GGA level.

```
6
Lattice="3.742 0.000 0.000 0.000 3.742 0.000 0.000 0.000 11.383" Properties=species:S:1:pos:R:3 pbc="T T T"
Pr 0.000 0.000 1.925
Pr 0.000 0.000 9.458
Sm 0.000 0.000 5.691
Ag 1.871 1.871 0.000
Ag 1.871 1.871 3.891
Ag 1.871 1.871 7.492
```

Output
density	7874	kg/m³
calculated formation energy	-0.259	eV per atom

=====

# 9
Below is an optimized crystal structure of NaPr2Au3, with properties calculated at the PBE-GGA level.

```
12
Lattice="5.218 0.000 0.000 -2.609 4.519 0.000 0.000 0.000 12.666" Properties=species:S:1:pos:R:3 pbc="T T T"
Na 0.000 3.013 2.137
Na 2.609 1.506 10.528
Pr 0.000 0.000 0.000
Pr 0.000 0.000 6.333
Pr 0.000 3.013 8.653
Pr 2.609 1.506 4.013
Au 0.000 0.000 3.208
Au 0.000 0.000 9.458
Au 0.000 3.013 5.434
Au 0.000 3.013 11.786
Au 2.609 1.506 0.880
Au 2.609 1.506 7.232
```

Output
density	9961	kg/m³
calculated formation energy	-0.643	eV per atom

=====

# 10
Below is an optimized crystal structure of POsS2I, with properties calculated at the PBE-GGA level.

```
5
Lattice="4.950 0.000 0.000 0.000 4.950 0.000 0.000 0.000 5.235" Properties=species:S:1:pos:R:3 pbc="T T T"
P 0.000 0.000 0.000
Os 2.475 2.475 0.000
S 0.000 2.475 2.618
S 2.475 0.000 2.618
I 0.000 0.000 2.618
```

Output
energy relative to the elements, uncorrected	2.214	eV per atom
density	5337	kg/m³

=====

# 11
Below is an optimized crystal structure of Co2AsAu, with properties calculated at the PBE-GGA level.

```
4
Lattice="-1.561 1.987 4.600 1.561 -1.987 4.600 1.561 1.987 -4.600" Properties=species:S:1:pos:R:3 pbc="T T T"
Co 0.000 0.000 0.000
Co 0.000 1.987 2.038
As 0.000 0.000 4.913
Au 1.561 0.000 2.641
```

Output
density	11339	kg/m³
calculated formation energy	0.263	eV per atom

=====

# 12
Below is an optimized crystal structure of CaCu2Te, with properties calculated at the PBE-GGA level.

```
8
Lattice="-2.257 2.257 9.621 2.257 -2.257 9.621 2.257 2.257 -9.621" Properties=species:S:1:pos:R:3 pbc="T T T"
Ca 0.000 0.000 0.000
Ca 0.000 2.257 4.811
Cu 1.129 -0.391 7.216
Cu 1.866 1.129 2.405
Cu 1.129 2.648 -2.405
Cu 0.391 1.129 12.026
Te 2.257 0.000 4.811
Te 0.000 0.000 9.621
```

Output
energy relative to the elements, uncorrected	-0.154	eV per atom
density	4993	kg/m³

=====

# 13
Below is an optimized crystal structure of Ce3Ga8Ni3, with properties calculated at the PBE-GGA level.

```
14
Lattice="-2.149 4.746 6.137 2.149 -4.746 6.137 2.149 4.746 -6.137" Properties=species:S:1:pos:R:3 pbc="T T T"
Ce 0.000 0.000 0.000
Ce 0.000 0.000 3.837
Ce 0.000 0.000 8.438
Ga 2.149 -1.299 1.942
Ga 2.149 -2.005 4.632
Ga 2.149 1.299 1.942
Ga 0.000 2.741 1.506
Ga 2.149 2.005 4.632
Ga 0.000 3.447 4.195
Ga 0.000 6.751 1.506
Ga 0.000 6.045 4.195
Ni 2.149 2.862 0.000
Ni 0.000 4.746 0.000
Ni 0.000 1.884 6.137
```

Output
density	7654	kg/m³
calculated formation energy	-0.522	eV per atom

=====

# 14
Below is an optimized crystal structure of Ti3ReW, with properties calculated at the PBE-GGA level.

```
5
Lattice="4.633 0.000 0.000 0.000 4.633 0.000 0.000 0.000 4.633" Properties=species:S:1:pos:R:3 pbc="T T T"
Ti 0.000 0.000 2.316
Ti 0.000 2.316 0.000
Ti 2.316 0.000 0.000
Re 2.316 2.316 2.316
W 0.000 0.000 0.000
```

Output
density	8579	kg/m³
calculated formation energy	1.415	eV per atom

=====

# 15
Below is an optimized crystal structure of Er6Rh5, with properties calculated at the PBE-GGA level.

```
11
Lattice="4.768 0.000 0.000 0.000 6.810 0.000 -2.373 0.000 7.180" Properties=species:S:1:pos:R:3 pbc="T T T"
Er 0.000 1.706 0.000
Er 0.000 5.104 0.000
Er 0.007 1.700 4.791
Er 0.007 5.110 4.791
Er 2.388 1.700 2.389
Er 2.388 5.110 2.389
Rh 0.004 0.000 2.396
Rh 0.004 3.405 2.425
Rh 2.384 3.405 0.000
Rh 2.391 3.405 4.755
Rh 2.391 0.000 4.784
```

Output
density	10812	kg/m³
calculated formation energy	-0.850	eV per atom

=====

# 16
Below is an optimized crystal structure of BaInPRh, with properties calculated at the PBE-GGA level.

```
8
Lattice="4.103 0.000 0.000 0.000 4.103 0.000 0.000 0.000 12.374" Properties=species:S:1:pos:R:3 pbc="T T T"
Ba 1.026 1.026 2.884
Ba 3.078 3.078 9.490
In 1.026 3.078 6.187
In 3.078 1.026 6.187
P 1.026 1.026 11.125
P 3.078 3.078 1.249
Rh 1.026 3.078 0.000
Rh 3.078 1.026 0.000
```

Output
density	6153	kg/m³
calculated formation energy	-0.673	eV per atom

=====

# 17
Below is an optimized crystal structure of La3Pm2Ge4, with properties calculated at the PBE-GGA level.

```
9
Lattice="5.855 -2.281 0.000 5.855 2.281 0.000 -1.568 0.000 9.891" Properties=species:S:1:pos:R:3 pbc="T T T"
La 0.000 0.000 0.000
La 3.517 0.000 5.954
La 6.625 0.000 3.937
Pm 3.475 0.000 1.822
Pm 6.667 0.000 8.069
Ge 0.092 0.000 6.031
Ge 2.624 0.000 8.781
Ge 7.518 0.000 1.110
Ge 10.050 0.000 3.860
```

Output
density	6268	kg/m³
calculated formation energy	-0.711	eV per atom

=====

# 18
Below is an optimized crystal structure of PIr2Os, with properties calculated at the PBE-GGA level.

```
4
Lattice="1.383 -2.445 0.000 1.383 2.445 0.000 0.000 0.000 8.569" Properties=species:S:1:pos:R:3 pbc="T T T"
P 0.000 0.000 0.000
Ir 0.000 0.000 4.345
Ir 1.383 0.000 1.928
Os 1.383 0.000 6.684
```

Output
density	17347	kg/m³
calculated formation energy	0.416	eV per atom

=====

# 19
Below is an optimized crystal structure of Ta2Cd, with properties calculated at the PBE-GGA level.

```
6
Lattice="5.658 -1.440 0.000 5.658 1.440 0.000 -2.051 0.000 6.981" Properties=species:S:1:pos:R:3 pbc="T T T"
Ta 0.000 0.000 0.000
Ta -0.667 0.000 4.401
Ta 3.886 0.000 2.002
Ta 6.269 0.000 6.741
Cd 2.347 0.000 4.673
Cd 6.845 0.000 2.393
```

Output
density	13848	kg/m³
calculated formation energy	0.314	eV per atom

=====

# 20
Below is an optimized crystal structure of NaSn3P, with properties calculated at the PBE-GGA level.

```
5
Lattice="5.337 0.000 0.000 0.000 5.337 0.000 0.000 0.000 5.337" Properties=species:S:1:pos:R:3 pbc="T T T"
Na 0.000 0.000 0.000
Sn 0.000 0.000 2.669
Sn 0.000 2.669 0.000
Sn 2.669 0.000 0.000
P 2.669 2.669 2.669
```

Output
density	4479	kg/m³
calculated formation energy	0.981	eV per atom